No. 1
# Ba2ZnSeO6, relaxed, DFT PBE
# uncorrected formation energy = -1.69 eV/atom
# N(E_F) = 0.238 states/eV per atom
data_Ba2ZnSeO6
_space_group_name_H-M_alt 'I 4/m m m'
_space_group_IT_number 139
_space_group_name_Hall '-I 4 2'
_cell_length_a 5.720
_cell_length_b 5.720
_cell_length_c 8.119
_cell_angle_alpha 90.00
_cell_angle_beta 90.00
_cell_angle_gamma 90.00
loop_
_atom_site_label
_atom_site_type_symbol
_atom_site_fract_x
_atom_site_fract_y
_atom_site_fract_z
Ba1 Ba 0.000 0.500 0.250
Zn1 Zn 0.000 0.000 0.000
Se1 Se 0.000 0.000 0.500
O1 O 0.000 0.000 0.270
O2 O 0.232 0.232 0.500

***

No. 2
# CaY2Rh, relaxed, DFT PBE
# N(E_F) = 0.895 states/eV per atom
# formation energy from the elements = -299 meV/atom
# polymorph energy (0 for the lowest one) = 0.0861 eV/atom
data_CaY2Rh
_space_group_name_H-M_alt 'P 4 m m'
_space_group_IT_number 99
_cell_length_a 3.500
_cell_length_b 3.500
_cell_length_c 9.003
_cell_angle_alpha 90.00
_cell_angle_beta 90.00
_cell_angle_gamma 90.00
loop_
_space_group_symop_operation_xyz
'x,y,z'
'-y,x,z'
'-x,-y,z'
'y,-x,z'
'-x,y,z'
'y,x,z'
'x,-y,z'
'-y,-x,z'
loop_
_atom_site_label
_atom_site_type_symbol
_atom_site_fract_x
_atom_site_fract_y
_atom_site_fract_z
Ca1 Ca 0.000 0.000 0.000
Y1 Y 0.000 0.000 0.369
Y2 Y 0.500 0.500 0.672
Rh1 Rh 0.500 0.500 0.205

***

No. 3
# UAl, relaxed, DFT PBE
# N(E_F) = 1.406 states/eV per atom
# formation energy from the elements = -105 meV/atom
data_UAl
_space_group_name_H-M_alt 'P 4/m m m'
_space_group_IT_number 123
_space_group_name_Hall '-P 4 2'
_cell_length_a 2.749
_cell_length_b 2.749
_cell_length_c 4.901
_cell_angle_alpha 90.00
_cell_angle_beta 90.00
_cell_angle_gamma 90.00
loop_
_atom_site_label
_atom_site_type_symbol
_atom_site_fract_x
_atom_site_fract_y
_atom_site_fract_z
U1 U 0.000 0.000 0.000
Al1 Al 0.500 0.500 0.500

***

No. 4
# Cs2CoCCl6, relaxed, DFT PBE
# uncorrected formation energy = -0.48 eV/atom
# N(E_F) = 0.564 states/eV per atom
data_Cs2CoCCl6
_space_group_name_H-M_alt 'I 4/m m m'
_space_group_IT_number 139
_space_group_name_Hall '-I 4 2'
_cell_length_a 6.904
_cell_length_b 6.904
_cell_length_c 11.137
_cell_angle_alpha 90.00
_cell_angle_beta 90.00
_cell_angle_gamma 90.00
loop_
_atom_site_label
_atom_site_type_symbol
_atom_site_fract_x
_atom_site_fract_y
_atom_site_fract_z
Cs1 Cs 0.000 0.500 0.250
Co1 Co 0.000 0.000 0.000
C1 C 0.000 0.000 0.500
Cl1 Cl 0.000 0.000 0.203
Cl2 Cl 0.232 0.232 0.500

***

No. 5
# Ac8SnGe2, relaxed, DFT PBE
# N(E_F) = 1.200 states/eV per atom
# formation energy from the elements = -300 meV/atom
data_Ac8SnGe2
_space_group_name_H-M_alt 'C 1 2/m 1'
_space_group_IT_number 12
_cell_length_a 9.351
_cell_length_b 14.578
_cell_length_c 6.305
_cell_angle_alpha 90.00
_cell_angle_beta 101.44
_cell_angle_gamma 90.00
loop_
_space_group_symop_operation_xyz
'x,y,z'
'-x,-y,-z'
'-x,y,-z'
'x,-y,z'
'x+1/2,y+1/2,z'
'-x+1/2,-y+1/2,-z'
'-x+1/2,y+1/2,-z'
'x+1/2,-y+1/2,z'
loop_
_atom_site_label
_atom_site_type_symbol
_atom_site_fract_x
_atom_site_fract_y
_atom_site_fract_z
Ac1 Ac 0.000 0.245 0.000
Ac2 Ac 0.122 0.500 0.793
Ac3 Ac 0.198 0.125 0.621
Sn1 Sn 0.000 0.000 0.000
Ge1 Ge 0.000 0.310 0.500

***

No. 6
# LiCe2PrHg4, relaxed, DFT PBE
# N(E_F) = 2.494 states/eV per atom
# formation energy from the elements = -338 meV/atom
data_LiCe2PrHg4
_space_group_name_H-M_alt 'R -3 m'
_space_group_IT_number 166
_space_group_name_Hall '-R 3 2"'
_cell_length_a 5.2954
_cell_length_b 5.2954
_cell_length_c 26.3964
_cell_angle_alpha 90.00
_cell_angle_beta 90.00
_cell_angle_gamma 120.00
loop_
_atom_site_label
_atom_site_type_symbol
_atom_site_fract_x
_atom_site_fract_y
_atom_site_fract_z
Li1 Li 0.0000 0.0000 0.0000
Ce1 Ce 0.0000 0.0000 0.2535
Pr1 Pr 0.0000 0.0000 0.5000
Hg1 Hg 0.0000 0.0000 0.1197
Hg2 Hg 0.0000 0.0000 0.3729

***

No. 7
# Tb5Nd6Dy2, relaxed, DFT PBE
# N(E_F) = 1.163 states/eV per atom
# formation energy from the elements = 99 meV/atom
data_Tb5Nd6Dy2
_space_group_name_H-M_alt 'P b a m'
_space_group_IT_number 55
_cell_length_a 11.758
_cell_length_b 20.677
_cell_length_c 3.633
_cell_angle_alpha 90.00
_cell_angle_beta 90.00
_cell_angle_gamma 90.00
loop_
_space_group_symop_operation_xyz
'x,y,z'
'-x,-y,-z'
'-x,-y,z'
'x,y,-z'
'x+1/2,-y+1/2,-z'
'-x+1/2,y+1/2,z'
'-x+1/2,y+1/2,-z'
'x+1/2,-y+1/2,z'
loop_
_atom_site_label
_atom_site_type_symbol
_atom_site_fract_x
_atom_site_fract_y
_atom_site_fract_z
Tb1 Tb 0.000 0.000 0.000
Tb2 Tb 0.091 0.274 0.000
Tb3 Tb 0.198 0.555 0.000
Nd1 Nd 0.060 0.420 0.500
Nd2 Nd 0.082 0.133 0.500
Nd3 Nd 0.174 0.865 0.000
Dy1 Dy 0.167 0.711 0.500

***

No. 8
# LiGaFeRe, relaxed, DFT PBE
# N(E_F) = 0.774 states/eV per atom
# formation energy from the elements = 118 meV/atom
# polymorph energy (0 for the lowest one) = 0.1104 eV/atom
data_LiGaFeRe
_space_group_name_H-M_alt 'I m m 2'
_space_group_IT_number 44
_cell_length_a 2.735
_cell_length_b 4.396
_cell_length_c 8.905
_cell_angle_alpha 90.00
_cell_angle_beta 90.00
_cell_angle_gamma 90.00
loop_
_space_group_symop_operation_xyz
'x,y,z'
'-x,-y,z'
'-x,y,z'
'x,-y,z'
'x+1/2,y+1/2,z+1/2'
'-x+1/2,-y+1/2,z+1/2'
'-x+1/2,y+1/2,z+1/2'
'x+1/2,-y+1/2,z+1/2'
loop_
_atom_site_label
_atom_site_type_symbol
_atom_site_fract_x
_atom_site_fract_y
_atom_site_fract_z
Li1 Li 0.000 0.000 0.000
Ga1 Ga 0.000 0.000 0.525
Fe1 Fe 0.000 0.500 0.254
Re1 Re 0.000 0.500 0.772

***

No. 9
# Tl2CuGeCl6, relaxed, DFT PBE
# uncorrected formation energy = -0.81 eV/atom
# N(E_F) = 0.220 states/eV per atom
data_Tl2CuGeCl6
_space_group_name_H-M_alt 'P -1'
_space_group_IT_number 2
_cell_length_a 7.089
_cell_length_b 7.090
_cell_length_c 7.092
_cell_angle_alpha 60.01
_cell_angle_beta 60.03
_cell_angle_gamma 60.05
loop_
_space_group_symop_operation_xyz
'x,y,z'
'-x,-y,-z'
loop_
_atom_site_label
_atom_site_type_symbol
_atom_site_fract_x
_atom_site_fract_y
_atom_site_fract_z
Tl1 Tl 0.249 0.250 0.249
Cu1 Cu 0.000 0.000 0.000
Ge1 Ge 0.500 0.500 0.500
Cl1 Cl 0.237 0.256 0.754
Cl2 Cl 0.247 0.762 0.745
Cl3 Cl 0.256 0.754 0.237

***

No. 10
# Pr4Dy2Mg, relaxed, DFT PBE
# N(E_F) = 1.432 states/eV per atom
# formation energy from the elements = 91 meV/atom
# polymorph energy (0 for the lowest one) = 0.0613 eV/atom
data_Pr4Dy2Mg
_space_group_name_H-M_alt 'P 1 21/m 1'
_space_group_IT_number 11
_cell_length_a 6.068
_cell_length_b 6.788
_cell_length_c 11.731
_cell_angle_alpha 90.00
_cell_angle_beta 104.43
_cell_angle_gamma 90.00
loop_
_space_group_symop_operation_xyz
'x,y,z'
'-x,-y,-z'
'-x,y+1/2,-z'
'x,-y+1/2,z'
loop_
_atom_site_label
_atom_site_type_symbol
_atom_site_fract_x
_atom_site_fract_y
_atom_site_fract_z
Pr1 Pr 0.132 0.250 0.125
Pr2 Pr 0.288 0.750 0.440
Pr3 Pr 0.354 0.502 0.717
Dy1 Dy 0.150 0.250 0.429
Dy2 Dy 0.423 0.750 0.008
Mg1 Mg 0.025 0.750 0.162

***

No. 11
# CaBeRh2, relaxed, DFT PBE
# N(E_F) = 0.762 states/eV per atom
# formation energy from the elements = 17 meV/atom
data_CaBeRh2
_space_group_name_H-M_alt 'P m m m'
_space_group_IT_number 47
_cell_length_a 3.164
_cell_length_b 4.111
_cell_length_c 4.756
_cell_angle_alpha 90.00
_cell_angle_beta 90.00
_cell_angle_gamma 90.00
loop_
_space_group_symop_operation_xyz
'x,y,z'
'-x,-y,-z'
'-x,-y,z'
'x,y,-z'
'x,-y,-z'
'-x,y,z'
'-x,y,-z'
'x,-y,z'
loop_
_atom_site_label
_atom_site_type_symbol
_atom_site_fract_x
_atom_site_fract_y
_atom_site_fract_z
Ca1 Ca 0.000 0.000 0.000
Be1 Be 0.500 0.000 0.500
Rh1 Rh 0.000 0.500 0.500
Rh2 Rh 0.500 0.500 0.000

***

No. 12
# Ac2Mg4Tl3Pb, relaxed, DFT PBE
# N(E_F) = 0.441 states/eV per atom
# formation energy from the elements = -267 meV/atom
data_Ac2Mg4Tl3Pb
_space_group_name_H-M_alt 'P -4 m 2'
_space_group_IT_number 115
_cell_length_a 4.896
_cell_length_b 4.896
_cell_length_c 11.944
_cell_angle_alpha 90.00
_cell_angle_beta 90.00
_cell_angle_gamma 90.00
loop_
_space_group_symop_operation_xyz
'x,y,z'
'y,-x,-z'
'-x,-y,z'
'-y,x,-z'
'-x,y,z'
'-y,-x,-z'
'x,-y,z'
'y,x,-z'
loop_
_atom_site_label
_atom_site_type_symbol
_atom_site_fract_x
_atom_site_fract_y
_atom_site_fract_z
Ac1 Ac 0.000 0.500 0.250
Mg1 Mg 0.000 0.000 0.000
Mg2 Mg 0.000 0.500 0.635
Mg3 Mg 0.500 0.500 0.000
Tl1 Tl 0.000 0.500 0.865
Tl2 Tl 0.500 0.500 0.500
Pb1 Pb 0.000 0.000 0.500